Record 1
The following is a DFT calculation (PBE-GGA) of an optimized crystal structure of Tb5HoTh2.

The structure belongs to space group Immm (No. 71); the cell edges are 3.519, 11.197 and 13.197 Å and the angles 90.00°, 90.00° and 90.00°. The distinct sites, in fractional coordinates, are Tb at (0.000, 0.000, 0.000), Tb at (0.000, 0.265, 0.370), Ho at (0.000, 0.500, 0.000) and Th at (0.000, 0.000, 0.259).

The energy above the most stable polymorph in this dataset is 63 meV/atom. As for the total moment: 0.000 μB per formula unit. The crystal system is orthorhombic. For the final energy, the calculation gives -5.22 eV per atom. The calculated volume is 260.0 Å³/f.u. For the energy of formation from the pure elements, the calculation gives 0.100 eV per atom.


Record 2
The following is a DFT calculation (PBE-GGA) of an optimized crystal structure of Tb3HoTh.

The structure belongs to space group P-1 (No. 2); the cell edges are 6.259, 6.756 and 9.223 Å and the angles 71.53°, 89.98° and 62.44°. The distinct sites, in fractional coordinates, are Tb at (0.035, 0.105, 0.149), Tb at (0.236, 0.697, 0.551), Tb at (0.432, 0.303, 0.949), Ho at (0.361, 0.104, 0.649) and Th at (0.175, 0.499, 0.251).

The energy above the most stable polymorph in this dataset is 0 meV/atom. As for the total moment: 0.001 μB per formula unit. The crystal system is triclinic. For the final energy, the calculation gives -5.14 eV per atom. The calculated volume is 161.5 Å³/f.u. For the energy of formation from the pure elements, the calculation gives 0.040 eV per atom.


Record 3
The following is a DFT calculation (PBE-GGA) of an optimized crystal structure of TbHoTh2.

The structure belongs to space group P2_1/m (No. 11); the cell edges are 5.044, 5.054 and 10.058 Å and the angles 90.00°, 90.08° and 90.00°. The distinct sites, in fractional coordinates, are Tb at (0.000, 0.250, 0.129), Ho at (0.500, 0.250, 0.871), Th at (0.000, 0.250, 0.623) and Th at (0.500, 0.250, 0.377).

The energy above the most stable polymorph in this dataset is 0 meV/atom. As for the total moment: 0.000 μB per formula unit. The crystal system is monoclinic. For the final energy, the calculation gives -5.98 eV per atom. The calculated volume is 128.2 Å³/f.u. For the energy of formation from the pure elements, the calculation gives 0.030 eV per atom.


Record 4
The following is a DFT calculation (PBE-GGA) of an optimized crystal structure of Tb12Ho5Th2.

The structure belongs to space group C2/m (No. 12); the cell edges are 15.622, 9.360 and 8.531 Å and the angles 90.00°, 91.35° and 90.00°. The distinct sites, in fractional coordinates, are Tb at (0.060, 0.000, 0.327), Tb at (0.086, 0.500, 0.882), Tb at (0.126, 0.192, 0.659), Tb at (0.154, 0.321, 0.240), Ho at (0.000, 0.500, 0.500), Ho at (0.196, 0.000, 0.015), Ho at (0.231, 0.500, 0.574) and Th at (0.000, 0.177, 0.000).

The energy above the most stable polymorph in this dataset is 127 meV/atom. As for the total moment: 0.000 μB per formula unit. The crystal system is monoclinic. For the final energy, the calculation gives -4.76 eV per atom. The calculated volume is 623.6 Å³/f.u. For the energy of formation from the pure elements, the calculation gives 0.150 eV per atom.